! KOsCl2 (PBE-GGA, relaxed); values from VASP
! ΔE_f (raw) = -0.042 eV per atom
! E = -4.047 eV per atom
&SYSTEM
  ibrav = 0, nat = 4, ntyp = 3
/
ATOMIC_SPECIES
K 39.10 K.upf
Os 190.23 Os.upf
Cl 35.45 Cl.upf
ATOMIC_POSITIONS crystal
K 0.0000 0.0000 0.0000
Os 0.5177 0.6115 0.4747
Cl 0.0087 0.5283 0.4399
Cl 0.4745 0.1083 0.5663
CELL_PARAMETERS angstrom
4.5514 0.0000 0.0000
-0.2671 4.6547 0.0000
-0.2617 -0.3390 4.9587



! Tm7Mg5Tl (PBE-GGA, relaxed); values from VASP
! ΔH_f (0 K) = 0.086 eV per atom
! E = -3.117 eV per atom
&SYSTEM
  ibrav = 0, nat = 13, ntyp = 3
/
ATOMIC_SPECIES
Tm 168.93 Tm.upf
Mg 24.30 Mg.upf
Tl 204.38 Tl.upf
ATOMIC_POSITIONS crystal
Tm 0.0000 0.0000 0.0000
Tm 0.2801 0.2801 0.0000
Tm 0.2840 0.6251 0.6589
Tm 0.4326 0.1225 0.3102
Tm 0.8123 0.1225 0.6898
Tm 0.8587 0.3587 0.5000
Tm 0.9662 0.6251 0.3411
Mg 0.1287 0.1208 0.4979
Mg 0.1287 0.6308 0.0079
Mg 0.3859 0.8859 0.5000
Mg 0.6229 0.1208 0.9921
Mg 0.6229 0.6308 0.5021
Tl 0.6464 0.6464 0.0000
CELL_PARAMETERS angstrom
-3.0508 5.2895 5.6724
3.0508 -5.2895 5.6724
3.0508 5.2895 -5.6724



! NdAu3 (PBE-GGA, relaxed); values from VASP
! ΔH_f (0 K) = -0.653 eV per atom
! E = -4.303 eV per atom
&SYSTEM
  ibrav = 0, nat = 8, ntyp = 2
/
ATOMIC_SPECIES
Nd 144.24 Nd.upf
Au 196.97 Au.upf
ATOMIC_POSITIONS crystal
Nd 0.0666 0.9334 0.7500
Nd 0.9334 0.0666 0.2500
Au 0.2278 0.7722 0.2500
Au 0.3745 0.6255 0.5579
Au 0.3745 0.6255 0.9421
Au 0.6255 0.3745 0.0579
Au 0.6255 0.3745 0.4421
Au 0.7722 0.2278 0.7500
CELL_PARAMETERS angstrom
2.1686 -5.2869 0.0000
2.1686 5.2869 0.0000
0.0000 0.0000 7.7502



! LaHg2 (PBE-GGA, relaxed); values from VASP
! ΔH_f (0 K) = -0.420 eV per atom
! E = -2.264 eV per atom
&SYSTEM
  ibrav = 0, nat = 3, ntyp = 2
/
ATOMIC_SPECIES
La 138.91 La.upf
Hg 200.59 Hg.upf
ATOMIC_POSITIONS crystal
La 0.0000 0.0000 0.0000
Hg 0.3304 0.3304 0.0000
Hg 0.6696 0.6696 0.0000
CELL_PARAMETERS angstrom
-2.0383 2.0436 5.0440
2.0383 -2.0436 5.0440
2.0383 2.0436 -5.0440